No. 1
# ThGa3Ni

ThGa3Ni after structural relaxation (PBE-GGA, Alexandria via LeMat-Bulk).

Geometry as POSCAR:
```
ThGa3Ni
1.0
-1.051 -2.356 -3.224
-4.496 -3.281 3.863
-4.823 4.548 -1.750
Th Ga Ni
2 6 2
direct
0.750 0.750 0.319
0.250 0.250 0.681
0.750 0.938 0.847
0.250 0.062 0.153
0.750 0.562 0.847
0.250 0.438 0.153
0.250 0.750 0.646
0.750 0.250 0.354
0.250 0.750 0.996
0.750 0.250 0.004
```

Results
**Density of states at the Fermi level**: 3.21 states/eV/f.u.
**E_form**: -0.47 eV/atom
**ΔE to the lowest computed polymorph**: 0.143 eV/atom



No. 2
# ThGa4Ni

ThGa4Ni after structural relaxation (PBE-GGA, Alexandria via LeMat-Bulk).

Geometry as POSCAR:
```
ThGa4Ni
1.0
-3.529 2.261 1.401
-2.510 -2.059 -2.999
-1.399 -5.065 4.649
Th Ga Ni
1 4 1
direct
0.000 0.000 0.000
0.500 0.500 0.830
0.500 0.500 0.170
0.500 0.000 0.500
0.000 0.500 0.500
0.500 0.500 0.500
```

Results
**Density of states at the Fermi level**: 5.38 states/eV/f.u.
**E_form**: 0.00 eV/atom



Number 1: volume 19.2 Å³/atom. Number 2: volume 22.8 Å³/atom.